No. 1
RbCr2CdCl8, optimized geometry, DFT GGA-PBE; E = -4.0769 eV/atom; SG = P-1, No. 2; crystal system = triclinic; formation energy (no corrections) = -1085 meV/atom; Fermi-level density of states = 4.4 states/eV/f.u.
1.0
6.250 0.000 0.000
0.489 6.413 0.000
0.010 0.008 7.774
Rb Cr Cd Cl
1 2 1 8
Cartesian
0.000 0.000 0.000
3.372 3.209 2.019
3.376 3.212 5.755
0.005 0.004 3.887
1.945 2.342 3.887
2.167 5.253 2.178
2.169 5.255 5.595
2.060 2.460 0.000
4.688 3.961 7.774
4.580 1.166 2.179
4.582 1.167 5.597
4.803 4.079 3.887



No. 2
RbCrCdCl6, optimized geometry, DFT GGA-PBE; E = -3.8232 eV/atom; SG = P312, No. 149; crystal system = trigonal; formation energy (no corrections) = -1314 meV/atom; Fermi-level density of states = 0.0 states/eV/f.u.
1.0
6.622 0.000 0.000
-3.311 5.734 0.000
0.000 0.000 7.257
Rb Cr Cd Cl
1 1 1 6
Cartesian
0.000 0.000 0.000
0.000 3.823 3.628
3.311 1.911 3.628
-1.062 2.222 5.019
-1.918 3.704 2.238
1.062 2.222 2.238
-0.856 5.543 5.019
1.918 3.704 5.019
0.856 5.543 2.238



No. 3
Cr2CdReCl, optimized geometry, DFT GGA-PBE; E = -5.8364 eV/atom; SG = P4/mmm, No. 123; crystal system = tetragonal; formation energy (no corrections) = 1055 meV/atom; Fermi-level density of states = 4.4 states/eV/f.u.
1.0
4.846 0.000 0.000
0.000 4.846 0.000
0.000 0.000 4.726
Cr Cd Re Cl
2 1 1 1
Cartesian
0.000 2.423 0.000
2.423 0.000 0.000
0.000 0.000 2.363
2.423 2.423 0.000
2.423 2.423 2.363



No. 4
CrCdRuCl2, optimized geometry, DFT GGA-PBE; E = -4.3221 eV/atom; SG = P4/mmm, No. 123; crystal system = tetragonal; formation energy (no corrections) = 379 meV/atom; Fermi-level density of states = 3.8 states/eV/f.u.
1.0
4.617 0.000 0.000
0.000 4.617 0.000
0.000 0.000 5.024
Cr Cd Ru Cl
1 1 1 2
Cartesian
0.000 0.000 0.000
2.309 2.309 2.512
0.000 0.000 2.512
0.000 2.309 0.000
2.309 0.000 0.000



No. 5
CrCdSCl2, optimized geometry, DFT GGA-PBE; E = -3.5912 eV/atom; SG = P4/mmm, No. 123; crystal system = tetragonal; formation energy (no corrections) = 81 meV/atom; Fermi-level density of states = 4.4 states/eV/f.u.
1.0
5.062 0.000 0.000
0.000 5.062 0.000
0.000 0.000 5.174
Cr Cd S Cl
1 1 1 2
Cartesian
0.000 0.000 0.000
2.531 2.531 2.587
2.531 2.531 0.000
0.000 2.531 2.587
2.531 0.000 2.587



No. 6
CrCdSCl2, optimized geometry, DFT GGA-PBE; E = -4.1135 eV/atom; SG = P4/mmm, No. 123; crystal system = tetragonal; formation energy (no corrections) = -442 meV/atom; Fermi-level density of states = 1.5 states/eV/f.u.
1.0
4.687 0.000 0.000
0.000 4.687 0.000
0.000 0.000 4.943
Cr Cd S Cl
1 1 1 2
Cartesian
0.000 0.000 0.000
2.343 2.343 2.472
0.000 0.000 2.472
0.000 2.343 0.000
2.343 0.000 0.000



No. 7
TlCrCd2Cl8, optimized geometry, DFT GGA-PBE; E = -3.4036 eV/atom; SG = P-1, No. 2; crystal system = triclinic; formation energy (no corrections) = -1021 meV/atom
1.0
6.297 0.000 0.000
1.566 6.102 0.000
1.670 1.302 8.528
Tl Cr Cd Cl
1 1 2 8
Cartesian
0.000 0.000 0.000
0.835 0.651 4.264
3.732 2.902 2.067
5.801 4.502 6.461
3.403 5.429 5.964
2.691 2.097 4.274
3.442 5.456 2.567
2.594 2.007 0.035
6.939 5.397 8.493
6.092 1.948 5.961
6.842 5.306 4.254
6.131 1.975 2.563



No. 8
Tl2CrCdCl6, optimized geometry, DFT GGA-PBE; E = -3.6370 eV/atom; SG = P2_1/c, No. 14; crystal system = monoclinic; formation energy (no corrections) = -1002 meV/atom; Fermi-level density of states = 2.1 states/eV/f.u.
1.0
7.163 0.000 0.000
0.000 7.230 0.000
-7.132 0.000 10.242
Tl Cr Cd Cl
4 2 2 12
Cartesian
-0.047 0.289 2.554
-3.613 3.326 7.675
3.644 3.904 2.567
0.078 6.941 7.688
-3.566 0.000 5.121
0.000 3.615 0.000
3.582 0.000 0.000
0.016 3.615 5.121
-5.667 1.634 9.974
-2.101 1.981 4.853
-5.173 5.097 9.973
-1.608 5.747 4.852
-3.190 0.037 7.599
0.376 3.578 2.478
-0.344 3.652 7.764
3.222 7.193 2.643
1.639 1.482 5.390
5.205 2.133 0.269
2.133 5.249 5.389
5.699 5.596 0.268



No. 9
TlCrCdCl6, optimized geometry, DFT GGA-PBE; E = -3.7560 eV/atom; SG = P312, No. 149; crystal system = trigonal; formation energy (no corrections) = -1091 meV/atom; Fermi-level density of states = 0.0 states/eV/f.u.
1.0
6.618 0.000 0.000
-3.309 5.731 0.000
0.000 0.000 6.974
Tl Cr Cd Cl
1 1 1 6
Cartesian
0.000 0.000 0.000
0.000 3.821 3.487
3.309 1.910 3.487
-1.060 2.219 4.877
-1.918 3.704 2.097
1.060 2.219 2.097
-0.857 5.540 4.877
1.918 3.704 4.877
0.857 5.540 2.097



No. 10
CrCdWCl2, optimized geometry, DFT GGA-PBE; E = -3.9098 eV/atom; SG = P4/mmm, No. 123; crystal system = tetragonal; formation energy (no corrections) = 1527 meV/atom; Fermi-level density of states = 2.6 states/eV/f.u.
1.0
4.927 0.000 0.000
0.000 4.927 0.000
0.000 0.000 6.335
Cr Cd W Cl
1 1 1 2
Cartesian
0.000 0.000 0.000
0.000 0.000 3.167
2.463 2.463 0.000
0.000 2.463 3.167
2.463 0.000 3.167



No. 11
YCr2CdCl, optimized geometry, DFT GGA-PBE; E = -4.8546 eV/atom; SG = P4/mmm, No. 123; crystal system = tetragonal; formation energy (no corrections) = 840 meV/atom; Fermi-level density of states = 3.1 states/eV/f.u.
1.0
5.836 0.000 0.000
0.000 5.836 0.000
0.000 0.000 5.106
Y Cr Cd Cl
1 2 1 1
Cartesian
0.000 0.000 0.000
0.000 2.918 0.000
2.918 0.000 0.000
2.918 2.918 2.553
0.000 0.000 2.553



No. 12
CsCdCl3, optimized geometry, DFT GGA-PBE; E = -2.9351 eV/atom; SG = Pm-3m, No. 221; crystal system = cubic; formation energy (no corrections) = -1473 meV/atom; Fermi-level density of states = 0.0 states/eV/f.u.
1.0
5.285 0.000 0.000
0.000 5.285 0.000
0.000 0.000 5.285
Cs Cd Cl
1 1 3
Cartesian
0.000 0.000 0.000
2.643 2.643 2.643
0.000 2.643 2.643
2.643 0.000 2.643
2.643 2.643 0.000



Number 1: total magnetization 7.00 μB per cell. Number 2: total magnetization 3.00 μB per cell. Number 3: total magnetization 6.33 μB per cell. Number 4: total magnetization 1.68 μB per cell. Number 5: total magnetization 4.08 μB per cell. Number 6: total magnetization 3.41 μB per cell. Number 7: total magnetization 3.00 μB per cell. Number 8: total magnetization 8.00 μB per cell. Number 9: total magnetization 3.00 μB per cell. Number 10: total magnetization 9.87 μB per cell. Number 11: total magnetization 9.91 μB per cell. Number 12: total magnetization 0.00 μB per cell.